No. 1
{
  "formula": "La3PPb",
  "functional": "PBE",
  "state": "relaxed",
  "cell": [[-2.1232, 5.1545, -0.2052], [-0.1461, -0.2819, -5.5694], [-5.1566, -2.1144, 0.2423]],
  "species": ["Pb", "P", "La", "La", "La"],
  "frac_coords": [[0.5000, 0.5000, 0.5000], [0.0000, 0.0000, 0.0000], [0.0000, 0.5000, 0.0000], [0.0000, 0.0000, 0.5000], [0.5000, 0.0000, 0.0000]],
  "dos_ef_per_ev_atom": 0.7428,
  "ef_ev_per_atom": -0.792,
  "dft_energy_ev_per_atom": -5.573
}

---

No. 2
{
  "formula": "Ac4Al2Ga5",
  "functional": "PBE",
  "state": "relaxed",
  "cell": [[-3.4399, 2.9800, -1.4371], [-4.5383, -2.7398, 5.1817], [2.1776, 5.5798, 6.3580]],
  "species": ["Ac", "Ac", "Ac", "Ac", "Al", "Al", "Ga", "Ga", "Ga", "Ga", "Ga"],
  "frac_coords": [[0.5000, 0.7307, 0.6454], [0.5000, 0.2248, 0.8585], [0.5000, 0.2693, 0.3546], [0.5000, 0.7752, 0.1415], [0.0000, 0.0695, 0.6246], [0.0000, 0.9305, 0.3754], [0.0000, 0.5885, 0.3672], [0.0000, 0.1177, 0.1094], [0.0000, 0.5000, 0.0000], [0.0000, 0.8823, 0.8906], [0.0000, 0.4115, 0.6328]],
  "dos_ef_per_ev_atom": 0.5843,
  "ef_ev_per_atom": -0.454,
  "dft_energy_ev_per_atom": -4.005
}